i.
First-principles (PBE with a Hubbard U) data for a geometry-optimized Li4Co3O7 structure, as listed in the Alexandria database.

Cell and atoms, written as extended XYZ:
```
28
Lattice="-1.0479 3.3547 3.4333 2.5622 -3.1131 5.0143 6.4439 4.1915 0.0569" Properties=species:S:1:pos:R:3 pbc="T T T"
O 5.1665 2.7437 7.0903
O 2.7917 1.6894 1.4142
O 0.8960 3.3734 2.6374
O 5.3756 5.5547 2.9812
O 1.7751 1.3054 3.8876
O 2.5941 2.8999 6.0795
O 4.4643 1.1670 4.8540
O 2.5826 -1.1216 5.5233
O 5.3641 1.5333 2.4250
O 1.0018 -0.2177 1.8005
O 6.9564 4.6508 6.7039
O 3.4938 3.2661 3.6505
O 7.0622 1.0597 5.8671
O 6.1830 3.1278 4.6169
Li 3.5357 5.3597 3.9040
Li 4.4224 -0.9265 4.6005
Li 2.5673 0.8436 5.8374
Li 1.7458 -0.7764 3.6427
Li 5.3909 3.5895 2.6671
Li 6.2124 5.2095 4.8618
Li 2.6980 3.7731 1.7451
Li 0.0000 0.0000 0.0000
Co 6.2495 1.2496 4.1149
Co 3.5708 1.4163 3.1480
Co 1.7087 3.1836 4.3895
Co 7.1234 2.8423 6.3347
Co 0.8348 1.5908 2.1698
Co 4.3874 3.0168 5.3565
```

Output
Magnetization in μB/atom: 0.213

ii.
First-principles (PBE with a Hubbard U) data for a geometry-optimized Li4Co3O7 structure, as listed in the Alexandria database.

Cell and atoms, written as extended XYZ:
```
28
Lattice="-9.2326 8.5918 -7.2140 -7.7108 7.7661 -9.5569 -4.0205 -4.1330 -1.1549" Properties=species:S:1:pos:R:3 pbc="T T T"
Li -14.7465 11.3882 -13.5923
Li -14.5927 6.6610 -11.8264
Li -8.4717 8.1790 -8.3855
Li -6.2174 0.8368 -4.3335
Li -6.3712 5.5641 -6.0994
Li -18.9818 12.0057 -16.5611
Li -1.9821 0.2194 -1.3648
Li -10.4819 6.1125 -8.9629
O -11.7216 7.4923 -10.2545
O -13.5821 10.0600 -12.3679
O -9.2423 4.7327 -7.6714
O -3.2933 1.6223 -2.7110
O -7.4491 6.7664 -7.2234
O -5.1541 4.2120 -4.8323
O -15.8098 8.0131 -13.0935
O -7.3818 2.1651 -5.5580
O -3.0547 -2.9814 -0.9335
O -13.5147 5.4586 -10.7025
O -5.0544 -0.3757 -3.1507
O -15.9094 12.6008 -14.7751
O -17.6705 10.6028 -15.2149
O -17.9091 15.2064 -16.9924
Co -16.7487 9.3060 -14.1590
Co -4.0504 -1.9121 -1.9571
Co -8.3161 3.4696 -6.6246
Co -4.2152 2.9191 -3.7668
Co -12.6478 8.7555 -11.3013
Co -16.9135 14.1371 -15.9688
```

Output
Magnetization in μB/atom: 0.500

iii.
First-principles (PBE with a Hubbard U) data for a geometry-optimized Li4Co3O7 structure, as listed in the Alexandria database.

Cell and atoms, written as extended XYZ:
```
28
Lattice="-3.4136 -2.8457 -2.1053 4.2388 -3.5014 1.6634 -3.4538 -0.1914 7.8562" Properties=species:S:1:pos:R:3 pbc="T T T"
Li -4.4752 -3.2670 4.1869
Li -1.3420 -2.0021 8.6646
Li -0.7896 -4.3853 7.2578
Li 0.3077 -3.9187 0.9914
Li -2.6724 -1.1580 4.0027
Li 0.0197 -5.3617 3.4272
Li 1.8532 -3.2172 3.2315
Li -2.9104 -2.6338 6.4264
O 0.0379 -1.8417 0.5219
O -2.7673 -4.7470 6.8499
O -1.8085 -4.0058 0.7216
O -2.1297 -1.7648 2.0396
O -2.0751 -5.4816 3.1232
O -5.0482 -2.8556 6.1824
O 0.5348 -5.9422 1.4299
O -0.5156 -4.7979 5.2748
O -0.5576 -1.0709 4.2735
O -3.0509 -0.5212 6.0017
O 2.3896 -3.7801 1.3839
O -2.4033 -3.2352 4.4734
O -0.7708 -2.4133 6.6693
O -0.2364 -3.3116 2.9554
Co -2.6117 -6.5133 7.4062
Co -2.1055 -3.6156 2.5771
Co -0.5286 -2.9265 4.8482
Co -0.2604 -1.4610 2.4179
Co -2.3819 -5.1022 5.0032
Co -1.8369 -2.1502 0.1470
```

Output
Magnetization in μB/atom: 0.073

Most favorable structure: iii. The second most favorable one is 29 meV per atom above it.

i.
First-principles (PBE with a Hubbard U) data for a geometry-optimized Li8Co5O10 structure, as listed in the Alexandria database.

Cell and atoms, written as extended XYZ:
```
23
Lattice="-4.1099 3.2205 0.4883 0.1012 -4.6345 4.5525 6.0655 4.0138 3.6378" Properties=species:S:1:pos:R:3 pbc="T T T"
O 0.7251 2.1928 1.4065
O 1.7049 0.2370 4.5892
O 3.6892 4.3114 4.6747
O 4.0633 -0.6439 6.3659
O 4.8931 2.0916 4.9844
O 1.0265 0.3323 7.2029
O -2.1201 3.1906 2.2378
O -3.0157 0.3596 3.6491
O 0.6907 2.5144 4.2357
O -1.4066 -1.5564 4.0530
Li -3.3007 1.6691 2.1956
Li 3.6124 0.4992 4.7789
Li 1.8280 4.1133 4.1680
Li -1.1873 1.8448 1.0375
Li 5.2133 0.9144 6.6231
Li 0.5697 -1.3305 4.3210
Li -0.2437 3.3603 2.6829
Li 2.1421 -0.9506 6.1462
Co 4.3863 3.0499 3.4034
Co -2.4023 -0.4520 5.2494
Co 1.2821 1.2048 2.9816
Co 0.8409 1.3994 5.7170
Co -1.9803 -0.6972 2.5377
```

Output
Magnetization in μB/atom: 0.304

ii.
First-principles (PBE with a Hubbard U) data for a geometry-optimized Li8Co5O10 structure, as listed in the Alexandria database.

Cell and atoms, written as extended XYZ:
```
23
Lattice="1.7993 5.0770 -0.0022 -1.7993 5.0770 -0.0022 0.0000 4.0270 13.7523" Properties=species:S:1:pos:R:3 pbc="T T T"
Li 0.0000 11.7274 12.9313
Li 0.0000 8.4946 2.1359
Li 0.0000 3.9735 6.2268
Li 0.0000 4.8928 9.2087
Li 0.0000 10.2075 7.5210
Li 0.0000 2.4536 0.8165
Li 0.0000 5.6865 11.6119
Li 0.0000 9.2882 4.5391
Co 0.0000 5.0770 -0.0022
Co 0.0000 8.3150 10.9974
Co 0.0000 7.4900 8.2341
Co 0.0000 6.6910 5.5137
Co 0.0000 5.8660 2.7504
O 0.0000 9.1113 9.1044
O 0.0000 6.8234 1.0181
O 0.0000 8.3442 6.5026
O 0.0000 5.8368 7.2452
O 0.0000 4.2003 1.7589
O 0.0000 7.4922 3.9003
O 0.0000 7.3577 12.7297
O 0.0000 5.0697 4.6434
O 0.0000 9.9807 11.9889
O 0.0000 6.6888 9.8475
```

Output
Magnetization in μB/atom: 0.566

iii.
First-principles (PBE with a Hubbard U) data for a geometry-optimized Li8Co5O10 structure, as listed in the Alexandria database.

Cell and atoms, written as extended XYZ:
```
46
Lattice="-3.6549 3.2459 -2.0095 -2.5573 -4.7829 3.6848 1.5481 10.9900 11.2504" Properties=species:S:1:pos:R:3 pbc="T T T"
Li -1.8788 -1.1074 6.2307
Li -1.1052 4.0260 4.5161
Li -2.7173 8.9692 4.7748
Li -1.4543 5.4306 6.4833
Li -1.0530 7.5157 10.6925
Li -1.5819 1.7440 0.1338
Li -3.5413 3.5609 4.0267
Li -3.2376 5.7075 8.4641
Li -3.5653 3.9861 6.4488
Li -0.8736 7.8313 13.1034
Li -1.8012 3.2506 2.0728
Li 0.6745 7.1799 8.7390
Li -2.0799 -1.4602 3.8045
Li -3.0219 6.0449 10.9080
Li -2.2075 11.1055 9.1622
Li -3.9710 1.5448 -0.1627
O -0.1936 2.0903 1.5976
O -1.3644 9.2684 6.2652
O -0.1225 9.0180 11.6505
O -4.5933 7.2502 11.0670
O -4.1007 2.3707 5.4904
O -1.5947 6.2714 12.1911
O -1.3168 0.0775 4.7195
O -4.6285 0.2483 1.2319
O -2.4737 7.2384 9.3826
O -3.0415 3.1231 0.5642
O -3.5597 -1.6711 2.5172
O -3.4418 0.0763 6.3806
O -0.9646 11.2400 10.6209
O -0.5538 7.0487 7.2191
O -4.7016 5.5306 7.1830
O -3.1526 9.4883 8.4703
O -2.2045 4.1682 7.8736
O -1.9653 2.3352 3.8277
O 0.0730 4.2332 6.0078
O -2.7269 5.0796 4.9998
Co 0.3562 10.0464 10.0504
Co -3.8634 8.3808 9.7856
Co -0.5269 3.1307 7.4902
Co -2.7124 1.2182 5.1224
Co -1.8821 8.2413 7.8411
Co -2.5555 3.3005 9.4576
Co -0.7138 1.0797 3.1904
Co -2.2457 6.1827 3.3996
Co -3.0629 -0.7755 0.8805
Co -5.0417 -0.6378 2.8036
```

Output
Magnetization in μB/atom: 0.087

Most favorable structure: iii. The second most favorable one is 12 meV per atom above it.

i.
First-principles (PBE with a Hubbard U) data for a geometry-optimized Li4CoO4 structure, as listed in the Alexandria database.

Cell and atoms, written as extended XYZ:
```
18
Lattice="-1.2424 2.7949 -5.6001 -2.5983 -3.8685 -1.3543 -5.4199 2.5494 2.4747" Properties=species:S:1:pos:R:3 pbc="T T T"
O -3.4305 -2.3328 -4.0385
O -0.3460 -0.3680 -0.1069
O -5.3844 0.8529 -0.0893
O -6.0426 2.3335 -3.0560
O -2.8620 1.1923 1.2300
O -5.6632 -1.0286 -2.8924
O -3.7121 0.6779 -4.2433
O -3.1073 -0.6827 -1.5169
Li -4.1158 2.2245 -3.0288
Li -1.1412 -0.2388 -1.9925
Li -5.9697 0.6509 -3.8983
Li -3.6316 1.1353 -0.8463
Li -1.6568 0.9213 -4.3168
Li -5.3162 -0.8192 -0.9526
Li -2.2268 -0.4431 0.2729
Li -2.8523 -2.5443 -0.6371
Co -4.6908 0.9935 1.5365
Co -3.8615 -0.8707 -3.2132
```

Output
Magnetization in μB/atom: 0.556

ii.
First-principles (PBE with a Hubbard U) data for a geometry-optimized Li4CoO4 structure, as listed in the Alexandria database.

Cell and atoms, written as extended XYZ:
```
9
Lattice="-3.9715 2.6720 0.6544 -2.2410 -3.8090 1.9519 4.5374 1.7356 2.6176" Properties=species:S:1:pos:R:3 pbc="T T T"
Li -1.9858 1.3360 0.3272
Li -1.1205 -1.9045 0.9759
Li -2.5165 -0.0876 2.9187
Li 0.8414 0.6862 2.3051
O -0.6414 0.5799 3.7521
O -2.2919 -2.1199 2.5676
O -3.2634 1.5188 1.8391
O 2.8465 1.2183 2.2888
Co 0.0000 0.0000 0.0000
```

Output
Magnetization in μB/atom: 0.556

Most favorable structure: i. The second most favorable one is 9 meV per atom above it.